Here is crystalline SrGe4Pt4 at its relaxed geometry from the Alexandria database. Energies are from PBE.

a b c (Å): 6.4673 6.4673 8.3878
angles (deg): 90.00 90.00 90.00
Last column: nearest neighbours and their distance in Å.
Fractional positions:
Sr: 0.2500 0.7500 0.2500  4 Pt 3.29, 4 Ge 3.56
Sr: 0.7500 0.2500 0.7500  4 Pt 3.29, 4 Ge 3.56
Ge: 0.0086 0.2500 0.1250  5 Pt 2.54-2.65
Ge: 0.2500 0.0086 0.6250  5 Pt 2.54-2.65
Ge: 0.2500 0.4914 0.6250  5 Pt 2.54-2.65
Ge: 0.4914 0.2500 0.1250  5 Pt 2.54-2.65
Ge: 0.5086 0.7500 0.8750  5 Pt 2.54-2.65
Ge: 0.7500 0.5086 0.3750  5 Pt 2.54-2.65
Ge: 0.7500 0.9914 0.3750  5 Pt 2.54-2.65
Ge: 0.9914 0.7500 0.8750  5 Pt 2.54-2.65
Pt: 0.0392 0.2500 0.4272  5 Ge 2.54-2.65, 1 Pt 2.73
Pt: 0.2500 0.0392 0.9272  5 Ge 2.54-2.65, 1 Pt 2.73
Pt: 0.2500 0.4608 0.9272  5 Ge 2.54-2.65, 1 Pt 2.73
Pt: 0.4608 0.2500 0.4272  5 Ge 2.54-2.65, 1 Pt 2.73
Pt: 0.5392 0.7500 0.5728  5 Ge 2.54-2.65, 1 Pt 2.73
Pt: 0.7500 0.5392 0.0728  5 Ge 2.54-2.65, 1 Pt 2.73
Pt: 0.7500 0.9608 0.0728  5 Ge 2.54-2.65, 1 Pt 2.73
Pt: 0.9608 0.7500 0.5728  5 Ge 2.54-2.65, 1 Pt 2.73

Output
DFT formation energy: -0.58 eV per atom
SG: P4_2/nmc (137)
Total moment: 0.00 μB/cell

***

Here is crystalline Sr3Ge2Pt4 at its relaxed geometry from the Alexandria database. Energies are from PBE.

a b c (Å): 6.2663 6.2663 8.7458
angles (deg): 100.26 100.26 40.51
Last column: nearest neighbours and their distance in Å.
Fractional positions:
Sr: 0.0000 0.0000 0.0000  8 Pt 3.29-3.53, 4 Ge 3.41
Sr: 0.3377 0.3377 0.3240  8 Pt 3.25-3.39, 4 Ge 3.33-3.36
Sr: 0.6623 0.6623 0.6760  8 Pt 3.25-3.39, 4 Ge 3.33-3.36
Ge: 0.3839 0.3839 0.7111  3 Pt 2.42-2.44
Ge: 0.6161 0.6161 0.2889  3 Pt 2.42-2.44
Pt: 0.0632 0.0632 0.3830  2 Ge 2.44
Pt: 0.2865 0.2865 0.9314  1 Ge 2.42, 2 Pt 2.70
Pt: 0.7135 0.7135 0.0686  1 Ge 2.42, 2 Pt 2.70
Pt: 0.9368 0.9368 0.6170  2 Ge 2.44

Output
DFT formation energy: -0.80 eV per atom
SG: C2/m (12)
Total moment: 0.00 μB/cell
Polymorph energy (0 for the lowest one): 34 meV per atom

***

Among the records above, which one has the lowest DFT formation energy?
Sr3Ge2Pt4